The following is a DFT calculation (GGA-PBE) of an optimized crystal structure of SrTm2Co.

Summary:
E   -17.40 eV/cell
Total moment   0.00 μB per cell
ΔE to the lowest computed polymorph   94 meV/atom

Lattice parameters (Å, degrees): 10.7246 10.7246 10.7246 20.65 20.65 20.65
Last column: nearest neighbours and their distance in Å.
Fractional coordinates of all 4 atoms:
Sr 0.0000 0.0000 0.0000  6 Sr 3.84, 2 Tm 3.85
Tm 0.1223 0.1223 0.1223  3 Co 2.62
Tm 0.8777 0.8777 0.8777  3 Co 2.62
Co 0.5000 0.5000 0.5000  6 Tm 2.62



The following is a DFT calculation (GGA-PBE) of an optimized crystal structure of TiCdCu2.

Summary:
E   -17.09 eV/cell
Total moment   0.58 μB per cell

Lattice parameters (Å, degrees): 3.1498 3.1498 6.2553 90.00 90.00 90.00
Last column: nearest neighbours and their distance in Å.
Fractional coordinates of all 4 atoms:
Ti 0.0000 0.0000 0.0000  8 Cu 2.63
Cd 0.0000 0.0000 0.5000  8 Cu 2.82, 2 Ti 3.13, 4 Cd 3.15
Cu 0.5000 0.5000 0.2240  4 Ti 2.63, 1 Cu 2.80, 4 Cd 2.82
Cu 0.5000 0.5000 0.7760  4 Ti 2.63, 1 Cu 2.80, 4 Cd 2.82



The following is a DFT calculation (GGA-PBE) of an optimized crystal structure of CdCoPt2.

Summary:
E   -37.91 eV/cell
Total moment   4.20 μB per cell

Lattice parameters (Å, degrees): 9.5170 9.5170 9.5170 156.43 156.43 33.57
Last column: nearest neighbours and their distance in Å.
Fractional coordinates of all 8 atoms:
Cd 0.0000 0.0000 0.0000  4 Pt 2.69, 4 Co 2.75
Cd 0.7500 0.2500 0.5000  4 Pt 2.69, 4 Co 2.75
Co 0.2500 0.7500 0.5000  4 Pt 2.64, 4 Cd 2.75
Co 0.5000 0.5000 0.0000  4 Pt 2.64, 4 Cd 2.75
Pt 0.1425 0.6250 0.0175  2 Co 2.64, 4 Pt 2.65-2.85, 2 Cd 2.69
Pt 0.3750 0.3925 0.5175  2 Co 2.64, 4 Pt 2.65-2.85, 2 Cd 2.69
Pt 0.6075 0.1250 0.9825  2 Co 2.64, 4 Pt 2.65-2.85, 2 Cd 2.69
Pt 0.8750 0.8575 0.4825  2 Co 2.64, 4 Pt 2.65-2.85, 2 Cd 2.69



The following is a DFT calculation (GGA-PBE) of an optimized crystal structure of Tb6Pr2In.

Summary:
E   -40.26 eV/cell
Total moment   0.00 μB per cell
ΔE to the lowest computed polymorph   78 meV/atom

Lattice parameters (Å, degrees): 9.6897 9.6897 9.6897 159.01 115.99 68.17
Last column: nearest neighbours and their distance in Å.
Fractional coordinates of all 9 atoms:
Tb 0.0154 0.1769 0.8385  1 In 3.29, 7 Tb 3.32-3.61, 3 Pr 3.50-3.68
Tb 0.2933 0.5000 0.7933  2 In 3.49, 6 Tb 3.53-3.61, 4 Pr 3.67
Tb 0.3384 0.1769 0.1615  1 In 3.29, 7 Tb 3.32-3.61, 3 Pr 3.50-3.68
Tb 0.6616 0.8231 0.8385  1 In 3.29, 7 Tb 3.32-3.61, 3 Pr 3.50-3.68
Tb 0.7067 0.5000 0.2067  2 In 3.49, 6 Tb 3.53-3.61, 4 Pr 3.67
Tb 0.9846 0.8231 0.1615  1 In 3.29, 7 Tb 3.32-3.61, 3 Pr 3.50-3.68
Pr 0.3491 0.8491 0.5000  10 Tb 3.50-3.68, 2 Pr 3.53
Pr 0.6509 0.1509 0.5000  10 Tb 3.50-3.68, 2 Pr 3.53
In 0.0000 0.0000 0.0000  8 Tb 3.29-3.49, 2 In 3.53



The following is a DFT calculation (GGA-PBE) of an optimized crystal structure of RbSrBe2Re.

Summary:
E   -17.64 eV/cell
Total moment   0.00 μB per cell

Lattice parameters (Å, degrees): 4.7419 4.7419 5.4191 90.00 90.00 90.00
Last column: nearest neighbours and their distance in Å.
Fractional coordinates of all 5 atoms:
Rb 0.0000 0.0000 0.0000  4 Sr 3.35, 8 Be 3.60
Sr 0.5000 0.5000 0.0000  2 Re 2.71
Be 0.0000 0.5000 0.5000  2 Re 2.37
Be 0.5000 0.0000 0.5000  2 Re 2.37
Re 0.5000 0.5000 0.5000  4 Be 2.37



The following is a DFT calculation (GGA-PBE) of an optimized crystal structure of AlPd6Pt.

Summary:
E   -43.43 eV/cell
Total moment   0.00 μB per cell
ΔE to the lowest computed polymorph   0 meV/atom

Lattice parameters (Å, degrees): 5.5388 5.5388 3.9853 90.00 90.00 94.98
Last column: nearest neighbours and their distance in Å.
Fractional coordinates of all 8 atoms:
Al 0.0000 0.0000 0.0000  8 Pd 2.59-2.77
Pd 0.0000 0.5000 0.0000  8 Pd 2.74-2.86, 2 Pt 2.77, 2 Al 2.77
Pd 0.2201 0.2201 0.5000  2 Al 2.59, 8 Pd 2.75-2.86, 2 Pt 2.89
Pd 0.2697 0.7303 0.5000  8 Pd 2.74-2.82, 2 Pt 2.74, 2 Al 2.97
Pd 0.5000 0.0000 0.0000  8 Pd 2.74-2.86, 2 Pt 2.77, 2 Al 2.77
Pd 0.7303 0.2697 0.5000  8 Pd 2.74-2.82, 2 Pt 2.74, 2 Al 2.97
Pd 0.7799 0.7799 0.5000  2 Al 2.59, 8 Pd 2.75-2.86, 2 Pt 2.89
Pt 0.5000 0.5000 0.0000  12 Pd 2.74-2.89



The following is a DFT calculation (GGA-PBE) of an optimized crystal structure of YGaGe3.

Summary:
E   -22.22 eV/cell
Total moment   0.00 μB per cell
ΔE to the lowest computed polymorph   0 meV/atom

Lattice parameters (Å, degrees): 4.9148 4.9148 4.9148 90.00 90.00 90.00
Last column: nearest neighbours and their distance in Å.
Fractional coordinates of all 5 atoms:
Y 0.0000 0.0000 0.0000  12 Ge 3.48
Ga 0.5000 0.5000 0.5000  6 Ge 2.46
Ge 0.0000 0.5000 0.5000  2 Ga 2.46
Ge 0.5000 0.0000 0.5000  2 Ga 2.46
Ge 0.5000 0.5000 0.0000  2 Ga 2.46



The following is a DFT calculation (GGA-PBE) of an optimized crystal structure of Sr2U2S7.

Summary:
E_form (uncorrected)   -1.4693 eV per atom
E   -70.99 eV/cell
Total moment   2.00 μB per cell

Lattice parameters (Å, degrees): 6.5165 6.5165 6.8326 90.00 90.00 97.28
Last column: nearest neighbours and their distance in Å.
Fractional coordinates of all 11 atoms:
Sr 0.2504 0.2504 0.0000  6 S 2.86-3.03
Sr 0.7496 0.7496 0.0000  6 S 2.86-3.03
U 0.2247 0.7753 0.5000  7 S 2.69-2.71
U 0.7753 0.2247 0.5000  7 S 2.69-2.71
S 0.0000 0.0000 0.2738  2 U 2.69, 2 Sr 2.86
S 0.0000 0.0000 0.7262  2 U 2.69, 2 Sr 2.86
S 0.0000 0.5000 0.2608  2 U 2.71, 2 Sr 3.03
S 0.0000 0.5000 0.7392  2 U 2.71, 2 Sr 3.03
S 0.5000 0.0000 0.2608  2 U 2.71, 2 Sr 3.03
S 0.5000 0.0000 0.7392  2 U 2.71, 2 Sr 3.03
S 0.5000 0.5000 0.5000  2 U 2.69



The following is a DFT calculation (GGA-PBE) of an optimized crystal structure of Y2HgHBr.

Summary:
E   -19.94 eV/cell
Total moment   1.29 μB per cell

Lattice parameters (Å, degrees): 4.6905 4.6905 5.1332 90.00 90.00 90.00
Last column: nearest neighbours and their distance in Å.
Fractional coordinates of all 5 atoms:
Y 0.0000 0.5000 0.0000  2 H 2.35
Y 0.5000 0.0000 0.0000  2 H 2.35
Hg 0.0000 0.0000 0.5000  4 Br 3.32, 8 Y 3.48
H 0.5000 0.5000 0.0000  4 Y 2.35, 2 Br 2.57
Br 0.5000 0.5000 0.5000  2 H 2.57



The following is a DFT calculation (GGA-PBE) of an optimized crystal structure of Er2PaRh.

Summary:
E   -26.10 eV/cell
Total moment   0.00 μB per cell
ΔE to the lowest computed polymorph   299 meV/atom

Lattice parameters (Å, degrees): 10.6939 10.6939 10.6939 17.67 17.67 17.67
Last column: nearest neighbours and their distance in Å.
Fractional coordinates of all 4 atoms:
Er 0.1022 0.1022 0.1022  3 Rh 2.78
Er 0.8978 0.8978 0.8978  3 Rh 2.78
Pa 0.0000 0.0000 0.0000  2 Er 3.23, 6 Pa 3.29
Rh 0.5000 0.5000 0.5000  6 Er 2.78



The following is a DFT calculation (GGA-PBE) of an optimized crystal structure of Pr4POsBr2.

Summary:
E_form (uncorrected)   -1.0617 eV per atom
E   -47.60 eV/cell
Total moment   0.00 μB per cell

Lattice parameters (Å, degrees): 7.5023 4.1542 7.8890 90.00 106.09 90.00
Last column: nearest neighbours and their distance in Å.
Fractional coordinates of all 8 atoms:
Pr 0.2249 0.0000 0.2001  2 Os 2.86, 1 P 2.93
Pr 0.2560 0.5000 0.8047  1 Os 2.78, 2 P 2.91
Pr 0.7440 0.5000 0.1953  1 Os 2.78, 2 P 2.91
Pr 0.7751 0.0000 0.7999  2 Os 2.86, 1 P 2.93
P 0.5000 0.0000 0.0000  6 Pr 2.91-2.93
Os 0.0000 0.5000 0.0000  6 Pr 2.78-2.86
Br 0.0000 0.0000 0.5000  6 Pr 3.26-3.35
Br 0.5000 0.5000 0.5000  6 Pr 3.39-3.40



The following is a DFT calculation (GGA-PBE) of an optimized crystal structure of Tl2Te2H5.

Summary:
E   -53.08 eV/cell
Total moment   0.00 μB per cell

Lattice parameters (Å, degrees): 9.6225 9.6225 6.3425 91.19 91.19 40.21
Last column: nearest neighbours and their distance in Å.
Fractional coordinates of all 18 atoms:
Tl 0.0967 0.0967 0.0301  2 H 2.58-2.82
Tl 0.2829 0.5058 0.4696  6 H 2.87-3.17
Tl 0.4942 0.7171 0.5304  6 H 2.87-3.17
Tl 0.9033 0.9033 0.9699  2 H 2.58-2.82
Te 0.3848 0.1004 0.2944  1 H 1.69
Te 0.4842 0.5158 0.0000  2 H 1.90
Te 0.8996 0.6152 0.7056  1 H 1.69
Te 0.9125 0.0875 0.5000  2 H 1.85
H 0.0722 0.4113 0.8797  1 Te 1.69
H 0.2518 0.7386 0.8184  1 Te 1.90
H 0.2614 0.7482 0.1816  1 Te 1.90
H 0.4570 0.2103 0.8347  1 H 0.76
H 0.4911 0.1357 0.7453  1 H 0.76
H 0.5887 0.9278 0.1203  1 Te 1.69
H 0.7002 0.2947 0.3061  1 Te 1.85
H 0.7053 0.2998 0.6939  1 Te 1.85
H 0.7897 0.5430 0.1653  1 H 0.76
H 0.8643 0.5089 0.2547  1 H 0.76



The following is a DFT calculation (GGA-PBE) of an optimized crystal structure of Pr2Al3Si.

Summary:
E_form (uncorrected)   -0.5663 eV per atom
E   -29.61 eV/cell
Total moment   0.00 μB per cell

Lattice parameters (Å, degrees): 4.2913 4.3343 7.5083 90.00 90.00 90.00
Last column: nearest neighbours and their distance in Å.
Fractional coordinates of all 6 atoms:
Pr 0.0000 0.0000 0.0000  2 Si 3.26, 10 Al 3.28-3.37
Pr 0.0000 0.5000 0.4854  8 Al 3.24-3.33, 4 Si 3.27
Al 0.5000 0.0000 0.6546  1 Si 2.46, 2 Al 2.51
Al 0.5000 0.5000 0.1618  2 Si 2.50, 1 Al 2.54
Al 0.5000 0.5000 0.8239  3 Al 2.51-2.54
Si 0.5000 0.0000 0.3266  3 Al 2.46-2.50